# Ge2TeBr

Ge2TeBr after structural relaxation (PBE, the Alexandria database).

Calculated values
Energy relative to the elements, uncorrected, eV per atom: 0.12
Final energy, eV/cell: -54.325

Cell: 7.2775 7.2775 7.2775 Å, 90.00 90.00 90.00°
Space group Fm-3m (No. 225)
Symmetry-distinct sites (fractional):
Ge: 0.2500 0.2500 0.2500
Te: 0.0000 0.0000 0.0000
Br: 0.0000 0.0000 0.5000


# NaCuHg2

NaCuHg2 after structural relaxation (PBE, the Alexandria database).

Calculated values
Final energy, eV/cell: -17.936

Cell: 4.6565 4.6565 14.1973 Å, 90.00 90.00 120.00°
Space group R-3m (No. 166, hexagonal axes)
Symmetry-distinct sites (fractional):
Na: 0.0000 0.0000 0.0000
Cu: 0.0000 0.0000 0.5000
Hg: 0.0000 0.0000 0.2274